Sr4FeMoO8 | Alexandria via LeMat-Bulk | GGA+U | optimized geometry; total moment = 2.0 μB/f.u.; E_tot = -6.471 eV per atom
1.0
7.008 -0.077 0.000
-4.822 5.086 0.000
0.000 0.000 5.518
Sr Fe Mo O
4 1 1 8
direct
0.350 0.650 0.000
0.853 0.147 0.500
0.147 0.853 0.500
0.650 0.350 0.000
0.000 0.000 0.000
0.500 0.500 0.500
0.160 0.840 0.000
0.660 0.340 0.500
0.340 0.660 0.500
0.840 0.160 0.000
0.250 0.250 0.246
0.750 0.750 0.754
0.250 0.250 0.754
0.750 0.750 0.246